[1]
Ho7Tl2C2 | GGA-PBE | relaxed

Cell lengths 9.172, 9.172, 9.172 Å; angles 158.12, 74.12, 110.22 degrees
Element x y z (fractional)
Ho: 0.000 0.000 0.000
Ho: 0.030 0.685 0.345
Ho: 0.074 0.381 0.693
Ho: 0.340 0.685 0.655
Ho: 0.428 0.568 0.860
Ho: 0.689 0.381 0.307
Ho: 0.709 0.568 0.140
Tl: 0.332 0.332 0.000
Tl: 0.742 0.242 0.500
C: 0.286 0.053 0.233
C: 0.820 0.053 0.767

As for the electronic total energy: -56.6 eV/cell. The value obtained for the density is 9.86 Mg/m³. The density of states at the Fermi level is 0.777 states/eV/atom. The total magnetic moment is 0.0 μB/f.u. The formation energy comes out at -0.1261 eV per atom.

***

[2]
Sr4CaSi3 | GGA-PBE | relaxed

Cell lengths 9.764, 9.764, 9.764 Å; angles 132.12, 132.12, 70.04 degrees
Element x y z (fractional)
Sr: 0.041 0.541 0.862
Sr: 0.179 0.041 0.500
Sr: 0.321 0.821 0.862
Sr: 0.459 0.321 0.500
Sr: 0.541 0.679 0.500
Sr: 0.679 0.179 0.138
Sr: 0.821 0.959 0.500
Sr: 0.959 0.459 0.138
Ca: 0.000 0.000 0.000
Ca: 0.500 0.500 0.000
Si: 0.110 0.390 0.500
Si: 0.250 0.250 0.000
Si: 0.390 0.890 0.279
Si: 0.610 0.110 0.721
Si: 0.750 0.750 0.000
Si: 0.890 0.610 0.500

As for the electronic total energy: -56.8 eV/cell. The value obtained for the density is 3.14 Mg/m³. The calculation puts the uncorrected formation energy at -0.42 eV/atom. The density of states at the Fermi level is 0.747 states/eV/atom. The total magnetic moment is 0.1 μB/f.u.

***

[3]
Sr2MgAs | GGA-PBE | relaxed

Cell lengths 9.202, 9.202, 9.202 Å; angles 27.62, 27.62, 27.62 degrees
Element x y z (fractional)
Sr: 0.000 0.000 0.000
Sr: 0.195 0.195 0.195
Mg: 0.437 0.437 0.437
As: 0.741 0.741 0.741

As for the electronic total energy: -11.6 eV/cell. The value obtained for the density is 3.08 Mg/m³. The calculation puts the polymorph energy (0 for the lowest one) at 48.8 kJ/mol of formula units. The density of states at the Fermi level is 0.813 states/eV/atom. The total magnetic moment is 0.0 μB/f.u. The formation energy comes out at -0.5004 eV per atom.

***

[4]
CsCu2Te2 | GGA-PBE | relaxed

Cell lengths 4.104, 4.104, 8.742 Å; angles 90.00, 90.00, 90.00 degrees
Element x y z (fractional)
Cs: 0.000 0.000 0.000
Cu: 0.000 0.500 0.500
Cu: 0.500 0.000 0.500
Te: 0.500 0.500 0.298
Te: 0.500 0.500 0.702

As for the electronic total energy: -16.7 eV/cell. The value obtained for the density is 5.81 Mg/m³. The calculation puts the uncorrected formation energy at -0.27 eV/atom. The density of states at the Fermi level is 0.811 states/eV/atom. The total magnetic moment is 0.0 μB/f.u.

***

[5]
MnHg2 | GGA-PBE | relaxed

Cell lengths 5.502, 5.502, 4.670 Å; angles 90.00, 90.00, 120.00 degrees
Element x y z (fractional)
Mn: 0.333 0.667 0.000
Mn: 0.667 0.333 0.000
Hg: 0.000 0.000 0.000
Hg: 0.000 0.648 0.500
Hg: 0.352 0.352 0.500
Hg: 0.648 0.000 0.500

As for the electronic total energy: -17.5 eV/cell. The value obtained for the density is 12.37 Mg/m³. The density of states at the Fermi level is 0.498 states/eV/atom. The total magnetic moment is 4.0 μB/f.u. The formation energy comes out at 0.3331 eV per atom.

***

[6]
Pm4NdSe6 | GGA-PBE | relaxed

Cell lengths 7.194, 7.194, 21.266 Å; angles 90.00, 90.00, 146.78 degrees
Element x y z (fractional)
Pm: 0.089 0.911 0.628
Pm: 0.089 0.911 0.872
Pm: 0.359 0.641 0.539
Pm: 0.359 0.641 0.961
Pm: 0.641 0.359 0.039
Pm: 0.641 0.359 0.461
Pm: 0.911 0.089 0.128
Pm: 0.911 0.089 0.372
Nd: 0.155 0.845 0.250
Nd: 0.845 0.155 0.750
Se: 0.000 0.000 0.000
Se: 0.000 0.000 0.500
Se: 0.189 0.811 0.750
Se: 0.269 0.731 0.092
Se: 0.269 0.731 0.408
Se: 0.447 0.553 0.667
Se: 0.447 0.553 0.833
Se: 0.553 0.447 0.167
Se: 0.553 0.447 0.333
Se: 0.731 0.269 0.592
Se: 0.731 0.269 0.908
Se: 0.811 0.189 0.250

As for the electronic total energy: -130.4 eV/cell. The value obtained for the density is 6.60 Mg/m³. The calculation puts the uncorrected formation energy at -1.86 eV/atom. The density of states at the Fermi level is 0.271 states/eV/atom. The total magnetic moment is 0.0 μB/f.u.

***

[7]
Ac2InNi2Pt5 | GGA-PBE | relaxed

Cell lengths 9.681, 9.681, 4.068 Å; angles 90.00, 90.00, 90.00 degrees
Element x y z (fractional)
Ac: 0.177 0.323 0.000
Ac: 0.323 0.823 0.000
Ac: 0.677 0.177 0.000
Ac: 0.823 0.677 0.000
In: 0.000 0.000 0.000
In: 0.500 0.500 0.000
Ni: 0.120 0.620 0.000
Ni: 0.380 0.120 0.000
Ni: 0.620 0.880 0.000
Ni: 0.880 0.380 0.000
Pt: 0.000 0.500 0.500
Pt: 0.066 0.787 0.500
Pt: 0.213 0.066 0.500
Pt: 0.287 0.566 0.500
Pt: 0.434 0.287 0.500
Pt: 0.500 0.000 0.500
Pt: 0.566 0.713 0.500
Pt: 0.713 0.434 0.500
Pt: 0.787 0.934 0.500
Pt: 0.934 0.213 0.500

As for the electronic total energy: -120.0 eV/cell. The value obtained for the density is 14.47 Mg/m³. The density of states at the Fermi level is 0.752 states/eV/atom. The total magnetic moment is 0.0 μB/f.u. The formation energy comes out at -0.7262 eV per atom.

***

[8]
ReSn3Os | GGA-PBE | relaxed

Cell lengths 5.136, 5.136, 5.136 Å; angles 90.00, 90.00, 90.00 degrees
Element x y z (fractional)
Re: 0.000 0.000 0.000
Sn: 0.000 0.000 0.500
Sn: 0.000 0.500 0.000
Sn: 0.500 0.000 0.000
Os: 0.500 0.500 0.500

As for the electronic total energy: -28.9 eV/cell. The value obtained for the density is 8.98 Mg/m³. The calculation puts the polymorph energy (0 for the lowest one) at 23.1 kJ/mol of formula units. The density of states at the Fermi level is 0.021 states/eV/atom. The total magnetic moment is 3.0 μB/f.u. The formation energy comes out at 1.3551 eV per atom.

***

[9]
CsTaN2 | GGA-PBE | relaxed

Cell lengths 4.295, 4.295, 4.295 Å; angles 60.00, 60.00, 60.00 degrees
Element x y z (fractional)
Cs: 0.000 0.000 0.000
Ta: 0.500 0.500 0.500
N: 0.250 0.250 0.250
N: 0.750 0.750 0.750

As for the electronic total energy: -22.3 eV/cell. The value obtained for the density is 10.13 Mg/m³. The calculation puts the uncorrected formation energy at 1.76 eV/atom. The density of states at the Fermi level is 0.742 states/eV/atom. The total magnetic moment is 0.0 μB/f.u.

***

[10]
LiSi2Pd | GGA-PBE | relaxed

Cell lengths 6.799, 6.799, 6.799 Å; angles 35.20, 35.20, 35.20 degrees
Element x y z (fractional)
Li: 0.000 0.000 0.000
Si: 0.133 0.133 0.133
Si: 0.867 0.867 0.867
Pd: 0.500 0.500 0.500

As for the electronic total energy: -17.9 eV/cell. The value obtained for the density is 3.02 Mg/m³. The calculation puts the uncorrected formation energy at 0.00 eV/atom. The density of states at the Fermi level is 0.699 states/eV/atom. The total magnetic moment is 0.0 μB/f.u.